[1]
The following is a PBE-GGA calculation of an optimized crystal structure of LaDy2Ga2, from Alexandria via LeMat-Bulk.

## Properties
- DOS(E_F) (states/eV/cell) = 5.70
- symmetry = C2/m
- total energy (eV per atom) = -4.423
- E_form (meV/atom) = -385

```
5
Lattice="6.373 -1.912 0.000 6.373 1.912 0.000 -1.260 0.000 5.717" Properties=species:S:1:pos:R:3 pbc="T T T"
La 0.000 0.000 0.000
Dy 4.058 0.000 2.461
Dy 7.429 0.000 3.255
Ga 2.583 0.000 5.068
Ga 8.904 0.000 0.649
```

***

[2]
The following is a PBE-GGA calculation of an optimized crystal structure of MnFePd4, from Alexandria via LeMat-Bulk.

## Properties
- DOS(E_F) (states/eV/cell) = 1.46
- symmetry = P4/mmm
- total energy (eV per atom) = -6.288
- E_form (meV/atom) = 112
- ΔE to the lowest computed polymorph (kcal/mol of atoms) = 5.48

```
6
Lattice="4.159 0.000 0.000 0.000 4.159 0.000 0.000 0.000 5.874" Properties=species:S:1:pos:R:3 pbc="T T T"
Mn 0.000 0.000 0.000
Fe 2.080 2.080 2.937
Pd 0.000 2.080 1.493
Pd 0.000 2.080 4.381
Pd 2.080 0.000 1.493
Pd 2.080 0.000 4.381
```